*P*
DFT (PBE) results for a relaxed InReSe2N crystal.

abc: 5.3531 5.3531 4.0420
angles: 90.00 90.00 90.00
Element x y z (fractional)
In 0.0000 0.0000 0.0000
Re 0.5000 0.5000 0.5000
Se 0.0000 0.5000 0.0000
Se 0.5000 0.0000 0.0000
N 0.0000 0.0000 0.5000

Properties
Space-group type   P4/mmm

=====

*Q*
DFT (PBE) results for a relaxed InReSe2N crystal.

abc: 5.1791 5.1791 3.7592
angles: 90.00 90.00 90.00
Element x y z (fractional)
In 0.0000 0.0000 0.0000
Re 0.5000 0.5000 0.5000
Se 0.0000 0.5000 0.5000
Se 0.5000 0.0000 0.5000
N 0.5000 0.5000 0.0000

Properties
Space-group type   P4/mmm

=====

Which structure is the most stable? The one labeled *Q*.

=====

*P*
DFT (PBE) results for a relaxed Sr2InReN crystal.

abc: 5.4881 5.4881 3.9156
angles: 90.00 90.00 90.00
Element x y z (fractional)
Sr 0.0000 0.5000 0.0000
Sr 0.5000 0.0000 0.0000
In 0.0000 0.0000 0.5000
Re 0.5000 0.5000 0.5000
N 0.5000 0.5000 0.0000

Properties
Space-group type   P4/mmm

=====

*Q*
DFT (PBE) results for a relaxed Sr2InReN crystal.

abc: 6.1175 6.1175 5.0349
angles: 90.00 90.00 90.00
Element x y z (fractional)
Sr 0.0000 0.5000 0.0000
Sr 0.5000 0.0000 0.0000
In 0.0000 0.0000 0.0000
Re 0.0000 0.0000 0.5000
N 0.5000 0.5000 0.5000

Properties
Space-group type   P4/mmm

=====

Which structure is the most stable? The one labeled *P*.